1.
The following is a DFT calculation (PBEsol) of a geometry-optimized ThMg2 structure. Values from VASP.

```
&SYSTEM
  ibrav = 0, nat = 12, ntyp = 2
/
ATOMIC_SPECIES
Mg 24.30 Mg.upf
Th 232.04 Th.upf
ATOMIC_POSITIONS angstrom
Mg 0.000 0.000 0.000
Mg 4.547 1.252 1.042
Mg 3.378 -3.776 0.991
Mg 8.301 -0.500 -2.038
Mg 8.252 -2.264 0.291
Mg 2.550 -0.986 1.253
Mg 2.501 -2.749 3.582
Mg 7.424 0.526 0.553
Th 1.763 -2.461 -1.826
Th 5.674 -1.715 2.599
Th 9.039 -0.789 3.370
Th 5.128 -1.534 -1.055
CELL_PARAMETERS angstrom
-0.100 -3.636 4.803
1.807 -2.117 -5.344
9.095 2.503 2.084
```

Computed properties:
Formation enthalpy at 0 K ... 34 meV per atom
Total DFT energy (no corrections) ... -3.813 eV/atom
Crystal system ... hexagonal
Size of the total moment ... 0.000 μB/f.u.
Space-group type ... P6_3/mmc

=====

2.
The following is a DFT calculation (PBEsol) of a geometry-optimized ScAlCu2 structure. Values from VASP.

```
&SYSTEM
  ibrav = 0, nat = 4, ntyp = 3
/
ATOMIC_SPECIES
Sc 44.96 Sc.upf
Al 26.98 Al.upf
Cu 63.55 Cu.upf
ATOMIC_POSITIONS angstrom
Sc -2.095 -0.622 0.643
Al -2.744 0.731 3.444
Cu -4.431 -0.225 1.615
Cu -0.992 -2.689 1.985
CELL_PARAMETERS angstrom
-0.690 -3.005 -0.443
1.409 -0.876 3.745
-3.979 2.234 2.020
```

Computed properties:
Formation enthalpy at 0 K ... -244 meV per atom
Total DFT energy (no corrections) ... -5.085 eV/atom
Crystal system ... orthorhombic
Size of the total moment ... 0.000 μB/f.u.
Space-group type ... Amm2

=====

3.
The following is a DFT calculation (PBEsol) of a geometry-optimized BaYHg2As structure. Values from VASP.

```
&SYSTEM
  ibrav = 0, nat = 5, ntyp = 4
/
ATOMIC_SPECIES
Y 88.91 Y.upf
As 74.92 As.upf
Hg 200.59 Hg.upf
Ba 137.33 Ba.upf
ATOMIC_POSITIONS angstrom
Y 0.000 0.000 0.000
As -1.896 -0.568 1.821
Hg 1.456 1.398 1.952
Hg 1.359 -2.362 0.678
Ba 0.919 -1.532 4.451
CELL_PARAMETERS angstrom
-3.791 -1.136 3.642
2.717 -4.724 1.356
2.912 2.795 3.904
```

Computed properties:
Formation enthalpy at 0 K ... -400 meV per atom
Total DFT energy (no corrections) ... -3.442 eV/atom
Crystal system ... tetragonal
Size of the total moment ... 0.001 μB/f.u.
Space-group type ... P4/mmm

=====

4.
The following is a DFT calculation (PBEsol) of a geometry-optimized Pm2GaSn structure. Values from VASP.

```
&SYSTEM
  ibrav = 0, nat = 4, ntyp = 3
/
ATOMIC_SPECIES
Sn 118.71 Sn.upf
Ga 69.72 Ga.upf
Pm 145.00 Pm.upf
ATOMIC_POSITIONS angstrom
Sn 0.000 0.000 0.000
Ga -3.486 -2.083 -4.992
Pm -1.743 -1.041 -2.496
Pm -5.229 -3.124 -7.488
CELL_PARAMETERS angstrom
-3.867 1.224 -3.341
0.206 -1.664 -4.980
-3.311 -3.725 -1.664
```

Computed properties:
Formation enthalpy at 0 K ... -602 meV per atom
Total DFT energy (no corrections) ... -5.070 eV/atom
Crystal system ... cubic
Size of the total moment ... 0.000 μB/f.u.
Space-group type ... Fm-3m

=====

5.
The following is a DFT calculation (PBEsol) of a geometry-optimized YBF2 structure. Values from VASP.

```
&SYSTEM
  ibrav = 0, nat = 4, ntyp = 3
/
ATOMIC_SPECIES
Y 88.91 Y.upf
B 10.81 B.upf
F 19.00 F.upf
ATOMIC_POSITIONS angstrom
Y -3.061 -1.766 3.586
B 0.000 0.000 0.000
F -1.530 -0.883 1.793
F -4.591 -2.650 5.380
CELL_PARAMETERS angstrom
-3.600 -1.846 0.731
-0.344 -2.679 3.099
-2.178 0.992 3.343
```

Computed properties:
Total DFT energy (no corrections) ... -5.713 eV/atom
ΔE_f (raw) ... -124.41 kJ per mole of atoms
Crystal system ... cubic
Size of the total moment ... 1.573 μB/f.u.
Space-group type ... Fm-3m

=====

6.
The following is a DFT calculation (PBEsol) of a geometry-optimized BaCaPb2 structure. Values from VASP.

```
&SYSTEM
  ibrav = 0, nat = 4, ntyp = 3
/
ATOMIC_SPECIES
Pb 207.20 Pb.upf
Ca 40.08 Ca.upf
Ba 137.33 Ba.upf
ATOMIC_POSITIONS angstrom
Pb 2.614 2.084 1.157
Pb 0.000 0.815 3.442
Ca 0.000 0.000 0.000
Ba 2.614 -1.269 2.285
CELL_PARAMETERS angstrom
5.228 0.000 0.000
-2.614 5.437 0.029
0.000 -2.538 4.571
```

Computed properties:
Formation enthalpy at 0 K ... -517 meV per atom
Total DFT energy (no corrections) ... -3.587 eV/atom
Crystal system ... tetragonal
Size of the total moment ... 0.000 μB/f.u.
Space-group type ... I4/mmm

=====

7.
The following is a DFT calculation (PBEsol) of a geometry-optimized Ba2NCl structure. Values from VASP.

```
&SYSTEM
  ibrav = 0, nat = 8, ntyp = 3
/
ATOMIC_SPECIES
N 14.01 N.upf
Ba 137.33 Ba.upf
Cl 35.45 Cl.upf
ATOMIC_POSITIONS angstrom
N 0.474 -0.295 4.282
N -2.961 1.843 2.774
Ba 4.395 3.233 0.754
Ba -1.967 -0.387 3.528
Ba -2.001 3.424 4.538
Ba 1.468 1.264 2.518
Cl 0.474 4.062 1.387
Cl 0.000 0.000 0.000
CELL_PARAMETERS angstrom
6.870 0.080 0.121
-2.961 6.200 -0.121
-2.961 -2.514 5.669
```

Computed properties:
Total DFT energy (no corrections) ... -4.949 eV/atom
ΔE_f (raw) ... -119.70 kJ per mole of atoms
Crystal system ... tetragonal
Size of the total moment ... 0.000 μB/f.u.
Space-group type ... I-42d

=====

8.
The following is a DFT calculation (PBEsol) of a geometry-optimized KAg3F structure. Values from VASP.

```
&SYSTEM
  ibrav = 0, nat = 5, ntyp = 3
/
ATOMIC_SPECIES
K 39.10 K.upf
Ag 107.87 Ag.upf
F 19.00 F.upf
ATOMIC_POSITIONS angstrom
K 0.000 0.000 0.000
Ag 0.000 2.757 0.000
Ag 0.000 0.000 2.757
Ag 2.757 0.000 0.000
F 2.757 2.757 2.757
CELL_PARAMETERS angstrom
5.514 0.000 0.000
0.000 5.514 0.000
0.000 0.000 5.514
```

Computed properties:
Total DFT energy (no corrections) ... -1.485 eV/atom
ΔE_f (raw) ... 107.43 kJ per mole of atoms
Crystal system ... cubic
Size of the total moment ... 0.001 μB/f.u.
Space-group type ... Pm-3m